(1)
AcPr2ZnN | GGA-PBE | optimized geometry

abc: 5.067 5.067 5.276
angles: 90.00 90.00 90.00
Positions (direct):
Ac 0.000 0.000 0.500
N 0.000 0.000 0.000
Zn 0.500 0.500 0.500
Pr 0.000 0.500 0.000
Pr 0.500 0.000 0.000

Summary:
The size of the total moment comes out at 0.00 μB per cell. Its formation energy without anion corrections is -0.537 eV/atom. For the density, the calculation gives 7.209 g/cm³. As for the space-group type: P4/mmm (123).

(2)
In2IrPb | GGA-PBE | optimized geometry

abc: 5.170 5.170 6.930
angles: 69.71 69.71 35.84
Positions (direct):
In 0.984 0.984 0.977
In 0.813 0.813 0.627
Ir 0.538 0.538 0.632
Pb 0.165 0.165 0.264

Summary:
The value obtained for the formation energy is 2.1 kJ/mol of atoms. The size of the total moment comes out at 0.00 μB per cell. For the density, the calculation gives 10.341 g/cm³. As for the space-group type: Cm (8).

(3)
CeLuAgSb | GGA-PBE | optimized geometry

abc: 5.256 5.256 5.256
angles: 60.00 60.00 60.00
Positions (direct):
Ce 0.250 0.250 0.250
Ag 0.500 0.500 0.500
Sb 0.000 0.000 0.000
Lu 0.750 0.750 0.750

Summary:
The size of the total moment comes out at 2.04 μB per cell. Its formation energy without anion corrections is -0.461 eV/atom. For the density, the calculation gives 8.811 g/cm³. As for the space-group type: F-43m (216).

no.,D(E_F) (states/eV/f.u.)
1,4.79
2,1.84
3,9.12